Record 1
A plane-wave DFT calculation with PBE-GGA was carried out for a relaxed structure of P2C3.

Computed properties:
V	13.0	Å³ per atom
magnetization	0.00	Bohr magnetons per cell
space-group type	Cm
calculated formation energy	0.755	eV/atom

Unit cell a=4.238 b=4.238 c=4.186 alpha=110.88 beta=110.88 gamma=74.87
Sites, in units of the cell vectors:
P1 0.000 0.000 0.000
P2 0.224 0.224 0.636
C1 0.361 0.872 0.826
C2 0.702 0.702 0.860
C3 0.872 0.361 0.826

---

Record 2
A plane-wave DFT calculation with PBE-GGA was carried out for a relaxed structure of PC2.

Computed properties:
V	17.3	Å³ per atom
magnetization	0.00	Bohr magnetons per cell
space-group type	Immm
calculated formation energy	1.677	eV/atom

Unit cell a=4.893 b=4.893 c=4.893 alpha=147.15 beta=123.97 gamma=66.49
Sites, in units of the cell vectors:
P1 0.000 0.000 0.000
C1 0.363 0.000 0.363
C2 0.637 0.000 0.637

---

Number 1: energy relative to the lowest polymorph listed for this composition 302.2 meV per atom. Number 2: energy relative to the lowest polymorph listed for this composition 1447.1 meV per atom.